# 1
A geometry-optimized TcINO2 structure, computed with GGA-PBE.

Cell: 3.684 3.684 5.918 Å, 90.00 90.00 90.00°
Element x y z (fractional)
1 I 0.000 0.000 0.500
2 Tc 0.000 0.000 0.000
3 O 0.000 0.500 0.000
4 O 0.500 0.000 0.000
5 N 0.500 0.500 0.500

Calculated values
Raw formation energy = 0.21 eV per atom
Space-group type = No. 123

# 2
A geometry-optimized TlINO2 structure, computed with GGA-PBE.

Cell: 4.179 4.179 4.319 Å, 90.00 90.00 90.00°
Element x y z (fractional)
1 I 0.000 0.000 0.000
2 Tl 0.500 0.500 0.500
3 O 0.000 0.500 0.000
4 O 0.500 0.000 0.000
5 N 0.000 0.000 0.500

Calculated values
Raw formation energy = 0.52 eV per atom
Space-group type = No. 123

Number 1: spin magnetization 0.00 μB per formula unit. Number 2: spin magnetization 0.00 μB per formula unit.